[1]
## BaTaCl (SCAN)

Data for BaTaCl at its PBEsol-relaxed geometry.

```
3
Lattice="-0.194 -5.470 0.327 -0.335 -3.009 -4.571 4.292 -2.997 -1.630" Properties=species:S:1:pos:R:3 pbc="T T T"
Cl 0.000 0.000 0.000
Ba 0.941 -2.869 -1.469
Ta 1.881 -5.738 -2.937
```

Summary:
The calculation puts the density at 5.04 Mg/m³. The symmetry is F-43m, No. 216. For the energy relative to the elements, uncorrected, the calculation gives 1.040 eV/atom.


[2]
## BaTcCl (SCAN)

Data for BaTcCl at its PBEsol-relaxed geometry.

```
3
Lattice="3.355 0.212 0.000 -0.212 3.355 0.000 -1.572 -1.783 6.027" Properties=species:S:1:pos:R:3 pbc="T T T"
Cl 0.000 0.000 3.690
Ba 1.572 1.783 6.014
Tc 1.572 1.783 2.351
```

Summary:
The calculation puts the density at 6.60 Mg/m³. The symmetry is I4mm, No. 107. For the energy relative to the elements, uncorrected, the calculation gives 0.277 eV/atom.


[3]
## BaTc2Cl (SCAN)

Data for BaTc2Cl at its PBEsol-relaxed geometry.

```
4
Lattice="-1.552 -1.242 -2.581 3.693 0.285 -2.358 1.632 -5.899 1.858" Properties=species:S:1:pos:R:3 pbc="T T T"
Cl 2.663 -2.807 -0.250
Ba 0.040 -3.571 -0.362
Tc 0.000 0.000 0.000
Tc 1.071 -0.479 -2.470
```

Summary:
The calculation puts the density at 6.69 Mg/m³. The symmetry is P2/m, No. 10. For the energy relative to the elements, uncorrected, the calculation gives 0.451 eV/atom.